PBE SmMgCo, optimized geometry; D(E_F) = 1.7 states/eV per cell; crystal system = tetragonal; calculated volume = 63.2 Å³/cell; calculated formation energy = 0.027 eV/atom; M_tot = 0.35 μB per formula unit
1.0
3.294 0.000 0.000
0.000 3.294 0.000
-1.647 -1.647 5.821
Sm Mg Co
1 1 1
Direct
0.031 0.031 0.062
0.297 0.297 0.594
0.672 0.672 0.344